# La2FeCuS6 PBE relaxed
data_La2FeCuS6
_chemical_formula_sum 'La2 Fe1 Cu1 S6'
_cell_length_a 6.2003
_cell_length_b 6.2103
_cell_length_c 6.2253
_cell_angle_alpha 66.85
_cell_angle_beta 66.64
_cell_angle_gamma 66.60
_space_group_name_H-M_alt 'P 1'
_space_group_IT_number 1
_space_group_name_Hall 'P 1'
loop_
_atom_site_label
_atom_site_fract_x
_atom_site_fract_y
_atom_site_fract_z
_atom_site_occupancy
La1 0.2485 0.2492 0.2488 1
La2 0.7515 0.7508 0.7512 1
Fe1 0.5000 0.5000 0.5000 1
Cu1 0.0000 0.0000 0.0000 1
S1 0.1751 0.7412 0.3339 1
S2 0.2609 0.6644 0.8263 1
S3 0.3340 0.1753 0.7363 1
S4 0.6660 0.8247 0.2637 1
S5 0.7391 0.3356 0.1737 1
S6 0.8249 0.2588 0.6661 1
# **Raw total energy**: -57.83 eV for the cell shown

***

# La2FeCuSe6 PBE relaxed
data_La2FeCuSe6
_chemical_formula_sum 'La2 Fe1 Cu1 Se6'
_cell_length_a 6.3591
_cell_length_b 6.4527
_cell_length_c 6.4635
_cell_angle_alpha 69.65
_cell_angle_beta 69.57
_cell_angle_gamma 69.59
_space_group_name_H-M_alt 'P 1'
_space_group_IT_number 1
_space_group_name_Hall 'P 1'
loop_
_atom_site_label
_atom_site_fract_x
_atom_site_fract_y
_atom_site_fract_z
_atom_site_occupancy
La1 0.2489 0.2470 0.2514 1
La2 0.7511 0.7530 0.7486 1
Fe1 0.5000 0.5000 0.5000 1
Cu1 0.0000 0.0000 0.0000 1
Se1 0.1607 0.3412 0.7427 1
Se2 0.2595 0.8352 0.6580 1
Se3 0.3445 0.7356 0.1656 1
Se4 0.6555 0.2644 0.8344 1
Se5 0.7405 0.1648 0.3420 1
Se6 0.8393 0.6588 0.2573 1
# **Raw total energy**: -52.95 eV for the cell shown

***

# LaFeCuSn2 PBE relaxed
data_LaFeCuSn2
_chemical_formula_sum 'La2 Fe2 Cu2 Sn4'
_cell_length_a 4.5443
_cell_length_b 4.5443
_cell_length_c 10.3655
_cell_angle_alpha 90.00
_cell_angle_beta 90.00
_cell_angle_gamma 90.00
_space_group_name_H-M_alt 'P 1'
_space_group_IT_number 1
_space_group_name_Hall 'P 1'
loop_
_atom_site_label
_atom_site_fract_x
_atom_site_fract_y
_atom_site_fract_z
_atom_site_occupancy
La1 0.2500 0.2500 0.2455 1
La2 0.7500 0.7500 0.7545 1
Fe1 0.2500 0.2500 0.6236 1
Fe2 0.7500 0.7500 0.3764 1
Cu1 0.2500 0.7500 0.0000 1
Cu2 0.7500 0.2500 0.0000 1
Sn1 0.2500 0.2500 0.8662 1
Sn2 0.2500 0.7500 0.5000 1
Sn3 0.7500 0.2500 0.5000 1
Sn4 0.7500 0.7500 0.1338 1
# **Raw total energy**: -52.83 eV for the cell shown

***

# LaFeCuTe PBE relaxed
data_LaFeCuTe
_chemical_formula_sum 'La1 Fe1 Cu1 Te1'
_cell_length_a 5.0315
_cell_length_b 5.0315
_cell_length_c 5.0315
_cell_angle_alpha 60.00
_cell_angle_beta 60.00
_cell_angle_gamma 60.00
_space_group_name_H-M_alt 'P 1'
_space_group_IT_number 1
_space_group_name_Hall 'P 1'
loop_
_atom_site_label
_atom_site_fract_x
_atom_site_fract_y
_atom_site_fract_z
_atom_site_occupancy
La1 0.0000 0.0000 0.0000 1
Fe1 0.7500 0.7500 0.7500 1
Cu1 0.5000 0.5000 0.5000 1
Te1 0.2500 0.2500 0.2500 1
# **Raw total energy**: -19.35 eV for the cell shown

***

# LaFeCuTe PBE relaxed
data_LaFeCuTe
_chemical_formula_sum 'La1 Fe1 Cu1 Te1'
_cell_length_a 4.8297
_cell_length_b 4.8297
_cell_length_c 4.8297
_cell_angle_alpha 60.00
_cell_angle_beta 60.00
_cell_angle_gamma 60.00
_space_group_name_H-M_alt 'P 1'
_space_group_IT_number 1
_space_group_name_Hall 'P 1'
loop_
_atom_site_label
_atom_site_fract_x
_atom_site_fract_y
_atom_site_fract_z
_atom_site_occupancy
La1 0.0000 0.0000 0.0000 1
Fe1 0.2500 0.2500 0.2500 1
Cu1 0.7500 0.7500 0.7500 1
Te1 0.5000 0.5000 0.5000 1
# **Raw total energy**: -20.08 eV for the cell shown

***

# LaFeCuTe PBE relaxed
data_LaFeCuTe
_chemical_formula_sum 'La1 Fe1 Cu1 Te1'
_cell_length_a 5.0070
_cell_length_b 5.0070
_cell_length_c 5.0070
_cell_angle_alpha 60.00
_cell_angle_beta 60.00
_cell_angle_gamma 60.00
_space_group_name_H-M_alt 'P 1'
_space_group_IT_number 1
_space_group_name_Hall 'P 1'
loop_
_atom_site_label
_atom_site_fract_x
_atom_site_fract_y
_atom_site_fract_z
_atom_site_occupancy
La1 0.0000 0.0000 0.0000 1
Fe1 0.5000 0.5000 0.5000 1
Cu1 0.7500 0.7500 0.7500 1
Te1 0.2500 0.2500 0.2500 1
# **Raw total energy**: -20.07 eV for the cell shown

***

# LaFeCuW PBE relaxed
data_LaFeCuW
_chemical_formula_sum 'La1 Fe1 Cu1 W1'
_cell_length_a 4.6503
_cell_length_b 4.6503
_cell_length_c 4.6503
_cell_angle_alpha 60.00
_cell_angle_beta 60.00
_cell_angle_gamma 60.00
_space_group_name_H-M_alt 'P 1'
_space_group_IT_number 1
_space_group_name_Hall 'P 1'
loop_
_atom_site_label
_atom_site_fract_x
_atom_site_fract_y
_atom_site_fract_z
_atom_site_occupancy
La1 0.0000 0.0000 0.0000 1
Fe1 0.2500 0.2500 0.2500 1
Cu1 0.7500 0.7500 0.7500 1
W1 0.5000 0.5000 0.5000 1
# **Raw total energy**: -27.32 eV for the cell shown
# **ΔE_f**: 0.65 eV per atom

***

# LaFeCuW PBE relaxed
data_LaFeCuW
_chemical_formula_sum 'La1 Fe1 Cu1 W1'
_cell_length_a 4.5539
_cell_length_b 4.5539
_cell_length_c 4.5539
_cell_angle_alpha 60.00
_cell_angle_beta 60.00
_cell_angle_gamma 60.00
_space_group_name_H-M_alt 'P 1'
_space_group_IT_number 1
_space_group_name_Hall 'P 1'
loop_
_atom_site_label
_atom_site_fract_x
_atom_site_fract_y
_atom_site_fract_z
_atom_site_occupancy
La1 0.0000 0.0000 0.0000 1
Fe1 0.5000 0.5000 0.5000 1
Cu1 0.7500 0.7500 0.7500 1
W1 0.2500 0.2500 0.2500 1
# **Raw total energy**: -27.06 eV for the cell shown
# **ΔE_f**: 0.71 eV per atom

***

# LaFeCuW PBE relaxed
data_LaFeCuW
_chemical_formula_sum 'La1 Fe1 Cu1 W1'
_cell_length_a 4.5282
_cell_length_b 4.5282
_cell_length_c 4.5282
_cell_angle_alpha 60.00
_cell_angle_beta 60.00
_cell_angle_gamma 60.00
_space_group_name_H-M_alt 'P 1'
_space_group_IT_number 1
_space_group_name_Hall 'P 1'
loop_
_atom_site_label
_atom_site_fract_x
_atom_site_fract_y
_atom_site_fract_z
_atom_site_occupancy
La1 0.0000 0.0000 0.0000 1
Fe1 0.7500 0.7500 0.7500 1
Cu1 0.5000 0.5000 0.5000 1
W1 0.2500 0.2500 0.2500 1
# **Raw total energy**: -26.34 eV for the cell shown
# **ΔE_f**: 0.89 eV per atom

***

# LiFeCu PBE relaxed
data_LiFeCu
_chemical_formula_sum 'Li2 Fe2 Cu2'
_cell_length_a 4.3404
_cell_length_b 4.3404
_cell_length_c 4.5112
_cell_angle_alpha 99.48
_cell_angle_beta 99.48
_cell_angle_gamma 120.12
_space_group_name_H-M_alt 'P 1'
_space_group_IT_number 1
_space_group_name_Hall 'P 1'
loop_
_atom_site_label
_atom_site_fract_x
_atom_site_fract_y
_atom_site_fract_z
_atom_site_occupancy
Li1 0.0000 0.0000 0.0000 1
Li2 0.6615 0.3385 0.0000 1
Fe1 0.4837 0.5163 0.5000 1
Fe2 0.8236 0.1764 0.5000 1
Cu1 0.1575 0.8425 0.5000 1
Cu2 0.3294 0.6706 0.0000 1
# **Raw total energy**: -26.75 eV for the cell shown

***

# LiFeCuS3 PBE relaxed
data_LiFeCuS3
_chemical_formula_sum 'Li2 Fe2 Cu2 S6'
_cell_length_a 6.1027
_cell_length_b 6.1027
_cell_length_c 9.2045
_cell_angle_alpha 90.00
_cell_angle_beta 90.00
_cell_angle_gamma 147.84
_space_group_name_H-M_alt 'P 1'
_space_group_IT_number 1
_space_group_name_Hall 'P 1'
loop_
_atom_site_label
_atom_site_fract_x
_atom_site_fract_y
_atom_site_fract_z
_atom_site_occupancy
Li1 0.2471 0.7529 0.7500 1
Li2 0.7529 0.2471 0.2500 1
Fe1 0.0000 0.0000 0.0000 1
Fe2 0.0000 0.0000 0.5000 1
Cu1 0.4535 0.5465 0.2500 1
Cu2 0.5465 0.4535 0.7500 1
S1 0.0824 0.9176 0.2500 1
S2 0.3668 0.6332 0.0370 1
S3 0.3668 0.6332 0.4630 1
S4 0.6332 0.3668 0.5370 1
S5 0.6332 0.3668 0.9630 1
S6 0.9176 0.0824 0.7500 1
# **Raw total energy**: -57.49 eV for the cell shown

***

# LiFeCuSe2S PBE relaxed
data_LiFeCuSe2S
_chemical_formula_sum 'Li2 Fe2 Cu2 Se4 S2'
_cell_length_a 6.3451
_cell_length_b 6.3451
_cell_length_c 9.4557
_cell_angle_alpha 90.00
_cell_angle_beta 90.00
_cell_angle_gamma 147.66
_space_group_name_H-M_alt 'P 1'
_space_group_IT_number 1
_space_group_name_Hall 'P 1'
loop_
_atom_site_label
_atom_site_fract_x
_atom_site_fract_y
_atom_site_fract_z
_atom_site_occupancy
Li1 0.2424 0.7576 0.7500 1
Li2 0.7576 0.2424 0.2500 1
Fe1 0.5000 0.5000 0.0000 1
Fe2 0.5000 0.5000 0.5000 1
Cu1 0.0418 0.9582 0.2500 1
Cu2 0.9582 0.0418 0.7500 1
Se1 0.1415 0.8585 0.0355 1
Se2 0.1415 0.8585 0.4645 1
Se3 0.8585 0.1415 0.5355 1
Se4 0.8585 0.1415 0.9645 1
S1 0.4255 0.5745 0.2500 1
S2 0.5745 0.4255 0.7500 1
# **Raw total energy**: -54.43 eV for the cell shown

***

# LiFeCuTeS2 PBE relaxed
data_LiFeCuTeS2
_chemical_formula_sum 'Li2 Fe2 Cu2 Te2 S4'
_cell_length_a 6.6911
_cell_length_b 6.6911
_cell_length_c 9.5649
_cell_angle_alpha 90.00
_cell_angle_beta 90.00
_cell_angle_gamma 150.93
_space_group_name_H-M_alt 'P 1'
_space_group_IT_number 1
_space_group_name_Hall 'P 1'
loop_
_atom_site_label
_atom_site_fract_x
_atom_site_fract_y
_atom_site_fract_z
_atom_site_occupancy
Li1 0.1991 0.8009 0.7500 1
Li2 0.8009 0.1991 0.2500 1
Fe1 0.0000 0.0000 0.0000 1
Fe2 0.0000 0.0000 0.5000 1
Cu1 0.4585 0.5415 0.2500 1
Cu2 0.5415 0.4585 0.7500 1
Te1 0.1098 0.8902 0.2500 1
Te2 0.8902 0.1098 0.7500 1
S1 0.3804 0.6196 0.0461 1
S2 0.3804 0.6196 0.4539 1
S3 0.6196 0.3804 0.5461 1
S4 0.6196 0.3804 0.9539 1
# **Raw total energy**: -54.78 eV for the cell shown